#one
The following is a DFT calculation (PBE-GGA) of a relaxed structure of MnCrCl2.

Summary:
- mass density (Mg/m³) = 3.8

```
data_MnCrCl2
_chemical_formula_sum 'Mn1 Cr1 Cl2'
_cell_length_a 3.115
_cell_length_b 3.115
_cell_length_c 7.949
_cell_angle_alpha 90.00
_cell_angle_beta 90.00
_cell_angle_gamma 90.00
_symmetry_space_group_name_H-M 'P 4 m m'
_symmetry_Int_Tables_number 99
_symmetry_space_group_name_Hall 'P 4 -2'
loop_
_atom_site_label
_atom_site_fract_x
_atom_site_fract_y
_atom_site_fract_z
Mn1 0.000 0.000 0.000
Cr1 0.500 0.500 0.766
Cl1 0.000 0.000 0.609
Cl2 0.500 0.500 0.174
```

#two
The following is a DFT calculation (PBE-GGA) of a relaxed structure of MnCrCl2.

Summary:
- mass density (Mg/m³) = 5.9

```
data_MnCrCl2
_chemical_formula_sum 'Mn4 Cr4 Cl8'
_cell_length_a 5.861
_cell_length_b 5.861
_cell_length_c 5.861
_cell_angle_alpha 90.00
_cell_angle_beta 90.00
_cell_angle_gamma 90.00
_symmetry_space_group_name_H-M 'F m -3 m'
_symmetry_Int_Tables_number 225
_symmetry_space_group_name_Hall '-F 4 2 3'
loop_
_atom_site_label
_atom_site_fract_x
_atom_site_fract_y
_atom_site_fract_z
Mn1 0.000 0.000 0.000
Cr1 0.000 0.000 0.500
Cl1 0.250 0.250 0.250
```

Calculated relative energies: #one 0.0; #two 90.2, given in kJ/mol of atoms

#one
The following is a DFT calculation (PBE-GGA) of a relaxed structure of Li2InHPt.

Summary:
- mass density (Mg/m³) = 8.3

```
data_Li2InHPt
_chemical_formula_sum 'Li2 In1 H1 Pt1'
_cell_length_a 4.177
_cell_length_b 4.177
_cell_length_c 3.726
_cell_angle_alpha 90.00
_cell_angle_beta 90.00
_cell_angle_gamma 90.00
_symmetry_space_group_name_H-M 'P 4/m m m'
_symmetry_Int_Tables_number 123
_symmetry_space_group_name_Hall '-P 4 2'
loop_
_atom_site_label
_atom_site_fract_x
_atom_site_fract_y
_atom_site_fract_z
Li1 0.000 0.500 0.000
In1 0.000 0.000 0.500
H1 0.500 0.500 0.000
Pt1 0.500 0.500 0.500
```

#two
The following is a DFT calculation (PBE-GGA) of a relaxed structure of Li2InHPt.

Summary:
- mass density (Mg/m³) = 7.9

```
data_Li2InHPt
_chemical_formula_sum 'Li2 In1 H1 Pt1'
_cell_length_a 3.889
_cell_length_b 3.889
_cell_length_c 4.517
_cell_angle_alpha 90.00
_cell_angle_beta 90.00
_cell_angle_gamma 90.00
_symmetry_space_group_name_H-M 'P 4/m m m'
_symmetry_Int_Tables_number 123
_symmetry_space_group_name_Hall '-P 4 2'
loop_
_atom_site_label
_atom_site_fract_x
_atom_site_fract_y
_atom_site_fract_z
Li1 0.000 0.500 0.000
In1 0.000 0.000 0.500
H1 0.000 0.000 0.000
Pt1 0.500 0.500 0.500
```

Calculated relative energies: #one 0.0; #two 9.1, given in kJ/mol of atoms